Record 1
An optimized crystal structure of Cs3Sn4Au, computed with GGA-PBE.

POSCAR file:
```
Cs3Sn4Au
1.0
6.734 0.000 0.000
0.000 7.523 0.000
0.000 0.000 14.010
Cs Sn Au
6 8 2
direct
0.833 0.500 0.742
0.167 0.000 0.242
0.167 0.000 0.758
0.446 0.500 0.500
0.554 0.000 0.000
0.833 0.500 0.258
0.957 0.209 0.500
0.336 0.500 0.112
0.957 0.791 0.500
0.664 0.000 0.612
0.664 0.000 0.388
0.043 0.291 0.000
0.043 0.709 0.000
0.336 0.500 0.888
0.689 0.500 0.000
0.311 0.000 0.500
```

volume	44.4	Å³/atom
crystal system	orthorhombic
energy of formation	-0.367	eV per atom
final energy	-3.098	eV/atom

Record 2
An optimized crystal structure of YAlFe2Re, computed with GGA-PBE.

POSCAR file:
```
YAlFe2Re
1.0
-3.131 -1.739 -2.626
3.150 -1.719 -2.617
0.010 -4.249 2.802
Y Re Fe Al
1 1 2 1
direct
0.000 0.000 0.000
0.500 0.500 0.500
0.000 0.500 0.000
0.500 0.000 0.000
0.000 0.000 0.500
```

volume	20.1	Å³/atom
crystal system	tetragonal
energy of formation	2.257	eV per atom
final energy	-5.659	eV/atom

Record 3
An optimized crystal structure of LiAc2Al12Co3, computed with GGA-PBE.

POSCAR file:
```
LiAc2Al12Co3
1.0
-2.474 7.666 0.209
-7.937 0.977 0.985
-2.213 2.652 7.280
Li Ac Al Co
1 2 12 3
direct
0.000 0.000 0.000
0.599 0.599 0.599
0.401 0.401 0.401
0.278 0.278 0.936
0.883 0.883 0.375
0.375 0.883 0.883
0.936 0.278 0.278
0.883 0.375 0.883
0.278 0.936 0.278
0.722 0.722 0.064
0.117 0.117 0.625
0.625 0.117 0.117
0.064 0.722 0.722
0.117 0.625 0.117
0.722 0.064 0.722
0.500 0.000 0.000
0.000 0.500 0.000
0.000 0.000 0.500
```

volume	22.8	Å³/atom
crystal system	trigonal
energy of formation	0.058	eV per atom
final energy	-4.184	eV/atom

Record 4
An optimized crystal structure of InSeN2Cl, computed with GGA-PBE.

POSCAR file:
```
InSeN2Cl
1.0
-0.301 2.990 3.071
-2.678 -2.535 2.206
4.709 -2.476 2.873
N Cl Se In
2 1 1 1
direct
0.000 0.500 0.000
0.500 0.000 0.000
0.500 0.500 0.500
0.000 0.000 0.500
0.000 0.000 0.000
```

volume	22.3	Å³/atom
crystal system	tetragonal
final energy	-3.467	eV/atom

Copy entry 4 word for word.
An optimized crystal structure of InSeN2Cl, computed with GGA-PBE.

POSCAR file:
```
InSeN2Cl
1.0
-0.301 2.990 3.071
-2.678 -2.535 2.206
4.709 -2.476 2.873
N Cl Se In
2 1 1 1
direct
0.000 0.500 0.000
0.500 0.000 0.000
0.500 0.500 0.500
0.000 0.000 0.500
0.000 0.000 0.000
```

volume	22.3	Å³/atom
crystal system	tetragonal
final energy	-3.467	eV/atom

- Among the records above, which one has the highest final energy?
  Cs3Sn4Au